Entry 1:
Nd7Sm12Dy after structural relaxation, computed with PBE.

Lattice parameters (Å, degrees): 8.8921 8.8921 8.8921 86.82 86.82 86.82
With the nearest neighbours (Å) after each atom.
Element x y z (fractional)
Nd: 0.0000 0.0000 0.0000  6 Sm 3.36
Nd: 0.1035 0.4224 0.3483  3 Nd 3.49-3.53, 7 Sm 3.58-3.85
Nd: 0.3483 0.1035 0.4224  3 Nd 3.49-3.53, 7 Sm 3.58-3.85
Nd: 0.4224 0.3483 0.1035  3 Nd 3.49-3.53, 7 Sm 3.58-3.85
Nd: 0.5776 0.6517 0.8965  3 Nd 3.49-3.53, 7 Sm 3.58-3.85
Nd: 0.6517 0.8965 0.5776  3 Nd 3.49-3.53, 7 Sm 3.58-3.85
Nd: 0.8965 0.5776 0.6517  3 Nd 3.49-3.53, 7 Sm 3.58-3.85
Sm: 0.0059 0.8837 0.3653  4 Sm 3.24-3.45, 2 Nd 3.36-3.58
Sm: 0.1163 0.6347 0.9941  4 Sm 3.24-3.45, 2 Nd 3.36-3.58
Sm: 0.2260 0.3535 0.7522  3 Sm 3.28-3.45, 1 Dy 3.48, 2 Nd 3.58-3.66
Sm: 0.2478 0.7740 0.6465  3 Sm 3.28-3.45, 1 Dy 3.48, 2 Nd 3.58-3.66
Sm: 0.3535 0.7522 0.2260  3 Sm 3.28-3.45, 1 Dy 3.48, 2 Nd 3.58-3.66
Sm: 0.3653 0.0059 0.8837  4 Sm 3.24-3.45, 2 Nd 3.36-3.58
Sm: 0.6347 0.9941 0.1163  4 Sm 3.24-3.45, 2 Nd 3.36-3.58
Sm: 0.6465 0.2478 0.7740  3 Sm 3.28-3.45, 1 Dy 3.48, 2 Nd 3.58-3.66
Sm: 0.7522 0.2260 0.3535  3 Sm 3.28-3.45, 1 Dy 3.48, 2 Nd 3.58-3.66
Sm: 0.7740 0.6465 0.2478  3 Sm 3.28-3.45, 1 Dy 3.48, 2 Nd 3.58-3.66
Sm: 0.8837 0.3653 0.0059  4 Sm 3.24-3.45, 2 Nd 3.36-3.58
Sm: 0.9941 0.1163 0.6347  4 Sm 3.24-3.45, 2 Nd 3.36-3.58
Dy: 0.5000 0.5000 0.5000  6 Sm 3.48

Properties
For the energy, the calculation gives -90.1 eV for the cell shown. The calculation puts the formation enthalpy at 0 K at 223 meV/atom. The space-group type is R-3. As for the theoretical density: 7.06 g/cm³. The calculation puts the polymorph energy (0 for the lowest one) at 0 meV/atom.

***

Entry 2:
LiCuNi2 after structural relaxation, computed with PBE.

Lattice parameters (Å, degrees): 2.5016 2.5016 7.4566 90.00 90.00 90.00
With the nearest neighbours (Å) after each atom.
Element x y z (fractional)
Li: 0.0000 0.0000 0.0000  4 Li 2.50, 4 Ni 2.61, 4 Cu 2.69
Cu: 0.5000 0.5000 0.7287  4 Cu 2.50, 4 Ni 2.53, 4 Li 2.69
Ni: 0.0000 0.0000 0.4852  8 Ni 2.45-2.50, 4 Cu 2.53
Ni: 0.5000 0.5000 0.2579  8 Ni 2.45-2.50, 4 Li 2.61

Properties
For the energy, the calculation gives -17.5 eV for the cell shown. The calculation puts the formation enthalpy at 0 K at 12 meV/atom. The space-group type is P4mm. As for the theoretical density: 6.69 g/cm³.

***

Entry 3:
Er2ScTc after structural relaxation, computed with PBE.

Lattice parameters (Å, degrees): 7.1787 8.9594 6.1044 90.00 90.00 90.00
With the nearest neighbours (Å) after each atom.
Element x y z (fractional)
Er: 0.1785 0.0623 0.1604  3 Tc 2.84-3.04
Er: 0.1785 0.4377 0.1604  3 Tc 2.84-3.04
Er: 0.3215 0.5623 0.6604  3 Tc 2.84-3.04
Er: 0.3215 0.9377 0.6604  3 Tc 2.84-3.04
Er: 0.6785 0.0623 0.3396  3 Tc 2.84-3.04
Er: 0.6785 0.4377 0.3396  3 Tc 2.84-3.04
Er: 0.8215 0.5623 0.8396  3 Tc 2.84-3.04
Er: 0.8215 0.9377 0.8396  3 Tc 2.84-3.04
Sc: 0.0453 0.2500 0.6323  2 Tc 2.59-2.66
Sc: 0.4547 0.7500 0.1323  2 Tc 2.59-2.66
Sc: 0.5453 0.2500 0.8677  2 Tc 2.59-2.66
Sc: 0.9547 0.7500 0.3677  2 Tc 2.59-2.66
Tc: 0.1187 0.7500 0.9767  2 Sc 2.59-2.66, 2 Er 2.84
Tc: 0.3813 0.2500 0.4767  2 Sc 2.59-2.66, 2 Er 2.84
Tc: 0.6187 0.7500 0.5233  2 Sc 2.59-2.66, 2 Er 2.84
Tc: 0.8813 0.2500 0.0233  2 Sc 2.59-2.66, 2 Er 2.84

Properties
For the energy, the calculation gives -105.6 eV for the cell shown. The calculation puts the formation enthalpy at 0 K at -143 meV/atom. The space-group type is Pnma. As for the theoretical density: 8.08 g/cm³. The calculation puts the polymorph energy (0 for the lowest one) at 0 meV/atom.

***

Entry 4:
Zr2CoHg after structural relaxation, computed with PBE.

Lattice parameters (Å, degrees): 3.2674 3.1549 7.4136 90.00 93.71 90.00
With the nearest neighbours (Å) after each atom.
Element x y z (fractional)
Zr: 0.0402 0.0000 0.2893  4 Co 2.62-2.90
Zr: 0.9598 0.0000 0.7107  4 Co 2.62-2.90
Co: 0.5000 0.5000 0.5000  8 Zr 2.62-2.90
Hg: 0.5000 0.5000 0.0000  8 Zr 3.12, 4 Hg 3.15-3.27

Properties
For the energy, the calculation gives -25.3 eV for the cell shown. The calculation puts the formation enthalpy at 0 K at -194 meV/atom. The space-group type is P2/m. As for the theoretical density: 9.62 g/cm³.

***

Entry 5:
CsPaAuO5 after structural relaxation, computed with PBE.

Lattice parameters (Å, degrees): 7.0943 7.0943 6.5299 108.81 108.81 101.25
With the nearest neighbours (Å) after each atom.
Element x y z (fractional)
Cs: 0.0918 0.9082 0.7500  5 O 2.94-3.14
Cs: 0.9082 0.0918 0.2500  5 O 2.94-3.14
Pa: 0.0000 0.5000 0.0000  6 O 2.16-2.21
Pa: 0.5000 0.0000 0.5000  6 O 2.16-2.21
Au: 0.4493 0.5507 0.7500  4 O 2.01-2.02
Au: 0.5507 0.4493 0.2500  4 O 2.01-2.02
O: 0.1690 0.5176 0.7718  1 Au 2.01, 1 Pa 2.21
O: 0.1759 0.8241 0.2500  2 Pa 2.16
O: 0.2470 0.4083 0.1987  1 Au 2.02, 1 Pa 2.17
O: 0.4083 0.2470 0.6987  1 Au 2.02, 1 Pa 2.17
O: 0.4824 0.8310 0.7282  1 Au 2.01, 1 Pa 2.21
O: 0.5176 0.1690 0.2718  1 Au 2.01, 1 Pa 2.21
O: 0.5917 0.7530 0.3013  1 Au 2.02, 1 Pa 2.17
O: 0.7530 0.5917 0.8013  1 Au 2.02, 1 Pa 2.17
O: 0.8241 0.1759 0.7500  2 Pa 2.16
O: 0.8310 0.4824 0.2282  1 Au 2.01, 1 Pa 2.21

Properties
For the energy, the calculation gives -105.8 eV for the cell shown. As for the formation energy from raw total energies: -1.81 eV/atom. The space-group type is C2/c. As for the theoretical density: 7.67 g/cm³.

***

Entry 6:
CaSm2YAs4 after structural relaxation, computed with PBE.

Lattice parameters (Å, degrees): 7.2628 4.1954 7.3006 90.00 109.45 90.00
With the nearest neighbours (Å) after each atom.
Element x y z (fractional)
Ca: 0.0000 0.0000 0.0000  6 As 2.99
Sm: 0.5000 0.0000 0.5000  6 As 2.95-2.96
Sm: 0.5000 0.5000 0.0000  6 As 2.99-3.00
Y: 0.0000 0.5000 0.5000  6 As 2.95
As: 0.2474 0.0000 0.7453  2 Y 2.95, 3 Sm 2.96-2.99, 1 Ca 2.99
As: 0.2513 0.5000 0.2551  1 Y 2.95, 3 Sm 2.95-3.00, 2 Ca 2.99
As: 0.7487 0.5000 0.7449  1 Y 2.95, 3 Sm 2.95-3.00, 2 Ca 2.99
As: 0.7526 0.0000 0.2547  2 Y 2.95, 3 Sm 2.96-2.99, 1 Ca 2.99

Properties
For the energy, the calculation gives -47.4 eV for the cell shown. The calculation puts the formation enthalpy at 0 K at -1367 meV/atom. The space-group type is P2/m. As for the theoretical density: 5.77 g/cm³.

***

Entry 7:
ZrAlHg2 after structural relaxation, computed with PBE.

Lattice parameters (Å, degrees): 9.7861 3.2576 5.4135 90.00 101.94 90.00
With the nearest neighbours (Å) after each atom.
Element x y z (fractional)
Zr: 0.0000 0.0000 0.0000  6 Hg 3.01-3.07, 4 Al 3.16, 2 Zr 3.26
Zr: 0.5000 0.5000 0.0000  6 Hg 3.01-3.07, 4 Al 3.16, 2 Zr 3.26
Al: 0.0000 0.5000 0.5000  6 Hg 2.96-3.06, 4 Zr 3.16, 2 Al 3.26
Al: 0.5000 0.0000 0.5000  6 Hg 2.96-3.06, 4 Zr 3.16, 2 Al 3.26
Hg: 0.2441 0.0000 0.7423  3 Al 2.96-3.06, 3 Zr 3.01-3.07, 6 Hg 3.11-3.26
Hg: 0.2559 0.5000 0.2577  3 Al 2.96-3.06, 3 Zr 3.01-3.07, 6 Hg 3.11-3.26
Hg: 0.7441 0.5000 0.7423  3 Al 2.96-3.06, 3 Zr 3.01-3.07, 6 Hg 3.11-3.26
Hg: 0.7559 0.0000 0.2577  3 Al 2.96-3.06, 3 Zr 3.01-3.07, 6 Hg 3.11-3.26

Properties
For the energy, the calculation gives -26.1 eV for the cell shown. The calculation puts the formation enthalpy at 0 K at -41 meV/atom. The space-group type is C2/m. As for the theoretical density: 10.22 g/cm³.

***

Entry 8:
YSc2Tl after structural relaxation, computed with PBE.

Lattice parameters (Å, degrees): 3.4740 3.4740 8.6135 90.00 90.00 90.00
With the nearest neighbours (Å) after each atom.
Element x y z (fractional)
Y: 0.0000 0.0000 0.0000  8 Sc 3.41, 4 Y 3.47
Sc: 0.5000 0.5000 0.2740  4 Tl 3.13, 4 Y 3.41, 4 Sc 3.47
Sc: 0.5000 0.5000 0.7260  4 Tl 3.13, 4 Y 3.41, 4 Sc 3.47
Tl: 0.0000 0.0000 0.5000  8 Sc 3.13, 4 Tl 3.47

Properties
For the energy, the calculation gives -22.0 eV for the cell shown. The calculation puts the formation enthalpy at 0 K at -135 meV/atom. The space-group type is P4/mmm. As for the theoretical density: 6.12 g/cm³. The calculation puts the polymorph energy (0 for the lowest one) at 66 meV/atom.

***

Entry 9:
MnPtSCl2 after structural relaxation, computed with PBE.

Lattice parameters (Å, degrees): 4.8119 4.8119 4.8320 90.00 90.00 90.00
With the nearest neighbours (Å) after each atom.
Element x y z (fractional)
Mn: 0.0000 0.0000 0.0000  4 S 3.40, 8 Cl 3.41
Pt: 0.5000 0.5000 0.5000  4 Cl 2.41, 2 S 2.42
S: 0.5000 0.5000 0.0000  2 Pt 2.42
Cl: 0.0000 0.5000 0.5000  2 Pt 2.41
Cl: 0.5000 0.0000 0.5000  2 Pt 2.41

Properties
For the energy, the calculation gives -22.0 eV for the cell shown. As for the formation energy from raw total energies: 0.21 eV/atom. The space-group type is P4/mmm. As for the theoretical density: 5.24 g/cm³. The calculation puts the polymorph energy (0 for the lowest one) at 0 meV/atom.

***

Entry 10:
SmY2Ho5Tm after structural relaxation, computed with PBE.

Lattice parameters (Å, degrees): 10.2237 10.2237 10.5581 90.00 90.00 148.23
With the nearest neighbours (Å) after each atom.
Element x y z (fractional)
Sm: 0.0847 0.9153 0.5000  5 Ho 3.03-3.23
Sm: 0.9153 0.0847 0.0000  5 Ho 3.03-3.23
Y: 0.3867 0.6133 0.3626  9 Ho 3.33-3.62, 1 Tm 3.68
Y: 0.3895 0.6105 0.7788  7 Ho 3.39-3.71, 1 Tm 3.41, 2 Sm 3.68
Y: 0.6105 0.3895 0.2788  7 Ho 3.39-3.71, 1 Tm 3.41, 2 Sm 3.68
Y: 0.6133 0.3867 0.8626  9 Ho 3.33-3.62, 1 Tm 3.68
Ho: 0.0205 0.9795 0.7819  2 Sm 3.10-3.23, 2 Y 3.45, 1 Ho 3.46
Ho: 0.1116 0.8884 0.0655  6 Ho 3.46-3.81, 4 Y 3.52-3.59, 1 Tm 3.69
Ho: 0.2014 0.7986 0.7519  4 Ho 3.40-3.75, 3 Tm 3.49-3.73, 3 Y 3.49-3.71, 1 Sm 3.51
Ho: 0.2176 0.7824 0.3548  1 Sm 3.03, 1 Y 3.33
Ho: 0.4805 0.5195 0.0680  2 Sm 3.16, 3 Y 3.39-3.54
Ho: 0.5195 0.4805 0.5680  2 Sm 3.16, 3 Y 3.39-3.54
Ho: 0.7824 0.2176 0.8548  1 Sm 3.03, 1 Y 3.33
Ho: 0.7986 0.2014 0.2519  4 Ho 3.40-3.75, 3 Tm 3.49-3.73, 3 Y 3.49-3.71, 1 Sm 3.51
Ho: 0.8884 0.1116 0.5655  6 Ho 3.46-3.81, 4 Y 3.52-3.59, 1 Tm 3.69
Ho: 0.9795 0.0205 0.2819  2 Sm 3.10-3.23, 2 Y 3.45, 1 Ho 3.46
Tm: 0.2992 0.7008 0.0549  2 Y 3.41-3.68, 8 Ho 3.49-3.73, 2 Sm 3.66
Tm: 0.7008 0.2992 0.5549  2 Y 3.41-3.68, 8 Ho 3.49-3.73, 2 Sm 3.66

Properties
For the energy, the calculation gives -87.2 eV for the cell shown. The calculation puts the formation enthalpy at 0 K at 156 meV/atom. The space-group type is Cmc2_1. As for the theoretical density: 7.56 g/cm³.

***

Entry 11:
PrNd3Fe after structural relaxation, computed with PBE.

Lattice parameters (Å, degrees): 5.4356 5.4356 5.4356 90.00 90.00 90.00
With the nearest neighbours (Å) after each atom.
Element x y z (fractional)
Pr: 0.0000 0.0000 0.0000  12 Nd 3.84
Nd: 0.0000 0.5000 0.5000  2 Fe 2.72
Nd: 0.5000 0.0000 0.5000  2 Fe 2.72
Nd: 0.5000 0.5000 0.0000  2 Fe 2.72
Fe: 0.5000 0.5000 0.5000  6 Nd 2.72

Properties
For the energy, the calculation gives -26.5 eV for the cell shown. The calculation puts the formation enthalpy at 0 K at 199 meV/atom. The space-group type is Pm-3m. As for the theoretical density: 6.51 g/cm³.

***

Entry 12:
LiMoBr2 after structural relaxation, computed with PBE.

Lattice parameters (Å, degrees): 7.7054 7.8376 4.0040 90.00 115.58 90.00
With the nearest neighbours (Å) after each atom.
Element x y z (fractional)
Li: 0.0000 0.0000 0.0000  4 Br 2.75
Li: 0.5000 0.5000 0.0000  4 Br 2.75
Mo: 0.0000 0.5000 0.0000  4 Br 2.75
Mo: 0.5000 0.0000 0.0000  4 Br 2.75
Br: 0.2500 0.2500 0.0000  2 Mo 2.75, 2 Li 2.75
Br: 0.2500 0.7500 0.0000  2 Mo 2.75, 2 Li 2.75
Br: 0.7500 0.2500 0.0000  2 Mo 2.75, 2 Li 2.75
Br: 0.7500 0.7500 0.0000  2 Mo 2.75, 2 Li 2.75

Properties
For the energy, the calculation gives -32.0 eV for the cell shown. As for the formation energy from raw total energies: 0.02 eV/atom. The space-group type is C2/m. As for the theoretical density: 4.00 g/cm³. The calculation puts the polymorph energy (0 for the lowest one) at 133 meV/atom.